--- A ---
Material: AcSeCl
Method: DFT, PBE-GGA
State: relaxed

Lattice parameters (Å, degrees): 4.1054 4.1054 9.6532 90.00 90.00 90.00
Space group I4mm (No. 107)
Asymmetric unit:
1 Ac 0.0000 0.0000 0.0000
2 Se 0.0000 0.0000 0.3522
3 Cl 0.0000 0.0000 0.6710

Results
Total magnetic moment, μB/f.u.: 0.00


--- B ---
Material: AcSeCl
Method: DFT, PBE-GGA
State: relaxed

Lattice parameters (Å, degrees): 5.1045 5.1045 7.3081 90.00 90.00 90.00
Space group P4_2/mmc (No. 131)
Asymmetric unit:
1 Ac 0.0000 0.5000 0.0000
2 Se 0.0000 0.0000 0.2500
3 Cl 0.5000 0.5000 0.2500

Results
Total magnetic moment, μB/f.u.: 0.00


Which structure is the least stable? The one labeled A.


--- A ---
Material: AcSeCl
Method: DFT, PBE-GGA
State: relaxed

Lattice parameters (Å, degrees): 7.2459 7.2459 7.2459 90.00 90.00 90.00
Space group F-43m (No. 216)
Asymmetric unit:
1 Ac 0.0000 0.0000 0.0000
2 Se 0.2500 0.2500 0.2500
3 Cl 0.2500 0.2500 0.7500

Results
Total magnetic moment, μB/f.u.: 0.00


--- B ---
Material: AcSeCl
Method: DFT, PBE-GGA
State: relaxed

Lattice parameters (Å, degrees): 4.6287 4.6287 6.4564 90.00 90.00 120.00
Space group P3m1 (No. 156)
Asymmetric unit:
1 Ac 0.0000 0.0000 0.0000
2 Se 0.3333 0.6667 0.2154
3 Cl 0.6667 0.3333 0.7629

Results
Total magnetic moment, μB/f.u.: 0.00


Which structure is the least stable? The one labeled B.


--- A ---
Material: Ac2SeCl
Method: DFT, PBE-GGA
State: relaxed

Lattice parameters (Å, degrees): 4.2446 4.2446 29.1957 90.00 90.00 120.00
Space group R-3m (No. 166, hexagonal axes)
Asymmetric unit:
1 Ac 0.0000 0.0000 0.0983
2 Se 0.0000 0.0000 0.5000
3 Cl 0.0000 0.0000 0.0000

Results
Total magnetic moment, μB/f.u.: 0.00


--- B ---
Material: Ac2SeCl
Method: DFT, PBE-GGA
State: relaxed

Lattice parameters (Å, degrees): 3.8555 3.8555 7.6543 90.00 90.00 90.00
Space group P4/mmm (No. 123)
Asymmetric unit:
1 Ac 0.0000 0.0000 0.2423
2 Se 0.5000 0.5000 0.0000
3 Cl 0.5000 0.5000 0.5000

Results
Total magnetic moment, μB/f.u.: 0.00


--- C ---
Material: Ac2SeCl
Method: DFT, PBE-GGA
State: relaxed

Lattice parameters (Å, degrees): 7.6615 7.6615 7.6615 90.00 90.00 90.00
Space group Fm-3m (No. 225)
Asymmetric unit:
1 Ac 0.2500 0.2500 0.2500
2 Se 0.0000 0.0000 0.0000
3 Cl 0.0000 0.0000 0.5000

Results
Total magnetic moment, μB/f.u.: 0.00


Which structure is the least stable? The one labeled B.


--- A ---
Material: Ac2SiCl2
Method: DFT, PBE-GGA
State: relaxed

Lattice parameters (Å, degrees): 4.5973 4.5973 9.2529 90.00 90.00 120.00
Space group P-3m1 (No. 164)
Asymmetric unit:
1 Ac 0.3333 0.6667 0.3109
2 Si 0.0000 0.0000 0.5000
3 Cl 0.3333 0.6667 0.8565

Results
Total magnetic moment, μB/f.u.: 0.00


--- B ---
Material: Ac2SiCl2
Method: DFT, PBE-GGA
State: relaxed

Lattice parameters (Å, degrees): 9.4329 9.2213 8.0954 90.00 113.46 90.00
Space group P2_1/c (No. 14)
Asymmetric unit:
1 Ac 0.0177 0.1465 0.2921
2 Ac 0.3944 0.6204 0.7588
3 Si 0.2006 0.6369 0.9975
4 Cl 0.1576 0.0737 0.9932
5 Cl 0.3830 0.2150 0.3743

Results
Total magnetic moment, μB/f.u.: 0.00


Which structure is the least stable? The one labeled B.


--- A ---
Material: Ac2Si2Cl
Method: DFT, PBE-GGA
State: relaxed

Lattice parameters (Å, degrees): 4.2971 4.2971 25.5464 90.00 90.00 120.00
Space group R-3m (No. 166, hexagonal axes)
Asymmetric unit:
1 Ac 0.0000 0.0000 0.0793
2 Si 0.0000 0.0000 0.3331
3 Cl 0.0000 0.0000 0.5000

Results
Total magnetic moment, μB/f.u.: 0.00


--- B ---
Material: Ac2Si2Cl
Method: DFT, PBE-GGA
State: relaxed

Lattice parameters (Å, degrees): 4.0944 17.2246 4.2092 90.00 90.00 90.00
Space group Cmmm (No. 65)
Asymmetric unit:
1 Ac 0.0000 0.1422 0.0000
2 Si 0.0000 0.2881 0.5000
3 Cl 0.0000 0.0000 0.5000

Results
Total magnetic moment, μB/f.u.: 0.00


Which structure is the least stable? The one labeled A.


--- A ---
Material: AcSmCl
Method: DFT, PBE-GGA
State: relaxed

Lattice parameters (Å, degrees): 3.8839 3.8839 7.7108 90.00 90.00 120.00
Space group P3m1 (No. 156)
Asymmetric unit:
1 Ac 0.0000 0.0000 0.0000
2 Sm 0.6667 0.3333 0.3884
3 Cl 0.3333 0.6667 0.6528

Results
Total magnetic moment, μB/f.u.: 0.50


--- B ---
Material: AcSmCl
Method: DFT, PBE-GGA
State: relaxed

Lattice parameters (Å, degrees): 11.3820 3.7807 10.3981 90.00 115.19 90.00
Space group C2/m (No. 12)
Asymmetric unit:
1 Ac 0.0227 0.0000 0.3032
2 Sm 0.1525 0.5000 0.0508
3 Cl 0.2283 0.0000 0.6369

Results
Total magnetic moment, μB/f.u.: 0.00


Which structure is the least stable? The one labeled B.


--- A ---
Material: Ac2SnCl
Method: DFT, PBE-GGA
State: relaxed

Lattice parameters (Å, degrees): 4.6656 4.6656 23.6785 90.00 90.00 120.00
Space group R3m (No. 160, hexagonal axes)
Asymmetric unit:
1 Ac 0.0000 0.0000 0.0000
2 Ac 0.0000 0.0000 0.1798
3 Sn 0.0000 0.0000 0.5893
4 Cl 0.0000 0.0000 0.7614

Results
Total magnetic moment, μB/f.u.: 0.00


--- B ---
Material: Ac2SnCl
Method: DFT, PBE-GGA
State: relaxed

Lattice parameters (Å, degrees): 3.9131 3.9131 8.3384 90.00 90.00 90.00
Space group P4/mmm (No. 123)
Asymmetric unit:
1 Ac 0.0000 0.0000 0.2433
2 Sn 0.5000 0.5000 0.0000
3 Cl 0.5000 0.5000 0.5000

Results
Total magnetic moment, μB/f.u.: 0.00


Which structure is the least stable? The one labeled B.


--- A ---
Material: Ac2SnCl2
Method: DFT, PBE-GGA
State: relaxed

Lattice parameters (Å, degrees): 4.8892 4.8892 8.2736 90.00 90.00 120.00
Space group P-3m1 (No. 164)
Asymmetric unit:
1 Ac 0.3333 0.6667 0.2215
2 Sn 0.0000 0.0000 0.0000
3 Cl 0.3333 0.6667 0.6161

Results
Total magnetic moment, μB/f.u.: 0.00


--- B ---
Material: Ac2SnCl2
Method: DFT, PBE-GGA
State: relaxed

Lattice parameters (Å, degrees): 4.7116 4.7116 30.6803 90.00 90.00 120.00
Space group R-3m (No. 166, hexagonal axes)
Asymmetric unit:
1 Ac 0.0000 0.0000 0.1050
2 Sn 0.0000 0.0000 0.5000
3 Cl 0.0000 0.0000 0.2771

Results
Total magnetic moment, μB/f.u.: 0.00


Which structure is the least stable? The one labeled B.